A geometry-optimized ScCdHg structure, computed with GGA-PBEsol.

For the total magnetization, the calculation gives 0.00 μB per cell. For the formation enthalpy at 0 K, the calculation gives -0.62 eV/f.u. The value obtained for the final energy is -8.99 eV/cell. The density of states at the Fermi level comes out at 1.57 states/eV per cell.

Cell and atoms, written as CIF:
```
data_ScCdHg
_chemical_formula_sum 'Sc1 Cd1 Hg1'
_cell_length_a 3.3701
_cell_length_b 3.3701
_cell_length_c 6.7306
_cell_angle_alpha 90.00
_cell_angle_beta 90.00
_cell_angle_gamma 120.00
_symmetry_space_group_name_H-M 'P 3 m 1'
_symmetry_Int_Tables_number 156
loop_
_symmetry_equiv_pos_as_xyz
'x,y,z'
'-y,x-y,z'
'-x+y,-x,z'
'-y,-x,z'
'-x+y,y,z'
'x,x-y,z'
loop_
_atom_site_label
_atom_site_fract_x
_atom_site_fract_y
_atom_site_fract_z
_atom_site_occupancy
Sc1 0.0000 0.0000 0.0000 1
Cd1 0.3333 0.6667 0.6598 1
Hg1 0.6667 0.3333 0.3227 1
```

A geometry-optimized ScCdHg2 structure, computed with GGA-PBEsol.

For the total magnetization, the calculation gives 0.00 μB per cell. For the formation enthalpy at 0 K, the calculation gives -1.06 eV/f.u. The value obtained for the final energy is -20.00 eV/cell. The density of states at the Fermi level comes out at 4.64 states/eV per cell.

Cell and atoms, written as CIF:
```
data_ScCdHg2
_chemical_formula_sum 'Sc2 Cd2 Hg4'
_cell_length_a 9.276
_cell_length_b 3.393
_cell_length_c 5.573
_cell_angle_alpha 90.00
_cell_angle_beta 103.03
_cell_angle_gamma 90.00
_symmetry_space_group_name_H-M 'C 1 2/m 1'
_symmetry_Int_Tables_number 12
loop_
_symmetry_equiv_pos_as_xyz
'x,y,z'
'-x,-y,-z'
'-x,y,-z'
'x,-y,z'
'x+1/2,y+1/2,z'
'-x+1/2,-y+1/2,-z'
'-x+1/2,y+1/2,-z'
'x+1/2,-y+1/2,z'
loop_
_atom_site_label
_atom_site_fract_x
_atom_site_fract_y
_atom_site_fract_z
_atom_site_occupancy
Sc1 0.000 0.000 0.000 1
Cd1 0.000 0.500 0.500 1
Hg1 0.248 0.500 0.245 1
```

A geometry-optimized Sc2CdHg structure, computed with GGA-PBEsol.

For the total magnetization, the calculation gives 0.00 μB per cell. For the formation enthalpy at 0 K, the calculation gives -1.03 eV/f.u. The value obtained for the final energy is -48.01 eV/cell. The density of states at the Fermi level comes out at 9.59 states/eV per cell.

Cell and atoms, written as CIF:
```
data_Sc2CdHg
_chemical_formula_sum 'Sc6 Cd3 Hg3'
_cell_length_a 3.3474
_cell_length_b 3.3474
_cell_length_c 27.5222
_cell_angle_alpha 90.00
_cell_angle_beta 90.00
_cell_angle_gamma 120.00
_symmetry_space_group_name_H-M 'R -3 m'
_symmetry_Int_Tables_number 166
_symmetry_space_group_name_Hall '-R 3 2"'
loop_
_atom_site_label
_atom_site_fract_x
_atom_site_fract_y
_atom_site_fract_z
_atom_site_occupancy
Sc1 0.0000 0.0000 0.2485 1
Cd1 0.0000 0.0000 0.0000 1
Hg1 0.0000 0.0000 0.5000 1
```

A geometry-optimized ScCdHg2 structure, computed with GGA-PBEsol.

For the total magnetization, the calculation gives 0.00 μB per cell. For the formation enthalpy at 0 K, the calculation gives -0.52 eV/f.u. The value obtained for the final energy is -28.38 eV/cell. The density of states at the Fermi level comes out at 6.13 states/eV per cell.

Cell and atoms, written as CIF:
```
data_ScCdHg2
_chemical_formula_sum 'Sc3 Cd3 Hg6'
_cell_length_a 3.3512
_cell_length_b 3.3512
_cell_length_c 27.3339
_cell_angle_alpha 90.00
_cell_angle_beta 90.00
_cell_angle_gamma 120.00
_symmetry_space_group_name_H-M 'R 3 m'
_symmetry_Int_Tables_number 160
_symmetry_space_group_name_Hall 'R 3 -2"'
loop_
_atom_site_label
_atom_site_fract_x
_atom_site_fract_y
_atom_site_fract_z
_atom_site_occupancy
Sc1 0.0000 0.0000 0.0000 1
Cd1 0.0000 0.0000 0.2482 1
Hg1 0.0000 0.0000 0.4986 1
Hg2 0.0000 0.0000 0.7473 1
```

Question: What is the formula in the third record?
Answer: Sc2CdHg